No. 1
TiB2RhO: optimized geometry, PBEsol.

symmetry: No. 123
E_form (uncorrected): 147 meV per atom

Unit cell a=3.680 b=3.680 c=3.725 alpha=90.00 beta=90.00 gamma=90.00
Atoms (fractional coordinates):
B 0.000 0.500 0.000
Ti 0.000 0.000 0.500
O 0.000 0.000 0.000
B 0.500 0.000 0.000
Rh 0.500 0.500 0.500



No. 2
Li2ZnSi: optimized geometry, PBEsol.

symmetry: No. 194
E_form (uncorrected): -293 meV per atom

Unit cell a=4.165 b=4.165 c=8.132 alpha=90.00 beta=90.00 gamma=120.00
Atoms (fractional coordinates):
Li 0.333 0.667 0.417
Zn 0.000 0.000 0.250
Zn 0.000 0.000 0.750
Si 0.333 0.667 0.750
Li 0.667 0.333 0.583
Si 0.667 0.333 0.250
Li 0.333 0.667 0.083
Li 0.667 0.333 0.917



No. 3
TlCuOs3: optimized geometry, PBEsol.

DFT formation energy: 3.638 eV per atom
symmetry: No. 221

Unit cell a=4.875 b=4.875 c=4.875 alpha=90.00 beta=90.00 gamma=90.00
Site moments in Bohr magnetons follow the coordinates.
Atoms (fractional coordinates):
Tl 0.000 0.000 0.000  0.00
Cu 0.500 0.500 0.500  0.15
Os 0.000 0.000 0.500  1.41
Os 0.500 0.000 0.000  1.41
Os 0.000 0.500 0.000  1.41



No. 4
Mn6PO12: optimized geometry, PBEsol.

symmetry: No. 142
E_form (uncorrected): -1622 meV per atom

Unit cell a=9.281 b=9.281 c=11.306 alpha=114.23 beta=114.23 gamma=90.00
Site moments in Bohr magnetons follow the coordinates.
Atoms (fractional coordinates):
O 0.279 0.591 0.404  0.08
Mn 0.875 0.149 0.250  3.63
Mn 0.020 0.020 0.500  3.63
O 0.446 0.467 0.653  0.05
O 0.042 0.563 0.847  0.05
O 0.909 0.221 0.596  0.08
O 0.971 0.159 0.096  0.08
Mn 0.520 0.980 0.500  3.63
P 0.750 0.250 0.500  0.03
O 0.105 0.279 0.860  0.06
O 0.341 0.529 0.904  0.08
O 0.563 0.375 0.904  0.08
O 0.208 0.187 0.653  0.05
P 0.000 0.000 0.000  0.03
O 0.804 0.283 0.847  0.05
O 0.313 0.292 0.347  0.05
O 0.187 0.721 0.596  0.08
Mn 0.625 0.375 0.250  3.32
Mn 0.125 0.375 0.250  3.32
O 0.542 0.783 0.847  0.05
O 0.063 0.029 0.904  0.08
Mn 0.375 0.601 0.250  3.63
Mn 0.125 0.875 0.250  3.32
O 0.919 0.745 0.140  0.06
O 0.304 0.063 0.847  0.05
O 0.529 0.505 0.360  0.06
O 0.419 0.895 0.140  0.06
O 0.255 0.779 0.860  0.06
O 0.995 0.971 0.640  0.06
Mn 0.730 0.770 0.000  3.63
O 0.717 0.958 0.153  0.05
Mn 0.480 0.480 0.500  3.63
Mn 0.230 0.730 0.000  3.63
Mn 0.899 0.125 0.750  3.63
Mn 0.399 0.125 0.750  3.63
Mn 0.351 0.625 0.750  3.63
Mn 0.125 0.375 0.750  3.32
O 0.217 0.696 0.153  0.05
O 0.708 0.967 0.653  0.05
O 0.831 0.855 0.360  0.06
O 0.533 0.792 0.347  0.05
O 0.033 0.054 0.347  0.05
P 0.250 0.750 0.500  0.03
Mn 0.625 0.375 0.750  3.32
O 0.029 0.355 0.360  0.06
O 0.937 0.458 0.153  0.05
O 0.437 0.196 0.153  0.05
O 0.625 0.659 0.096  0.08
O 0.471 0.437 0.096  0.08
Mn 0.270 0.230 0.000  3.63
Mn 0.375 0.101 0.250  3.63
O 0.125 0.813 0.404  0.08
Mn 0.875 0.649 0.250  3.63
O 0.495 0.169 0.640  0.06
O 0.331 0.005 0.360  0.06
O 0.625 0.091 0.404  0.08
O 0.125 0.937 0.096  0.08
O 0.605 0.081 0.860  0.06
O 0.645 0.669 0.640  0.06
O 0.779 0.313 0.404  0.08
Mn 0.980 0.520 0.500  3.63
P 0.500 0.500 0.000  0.03
O 0.946 0.687 0.653  0.05
Mn 0.125 0.875 0.750  3.32
O 0.813 0.554 0.347  0.05
O 0.755 0.581 0.860  0.06
O 0.721 0.245 0.140  0.06
Mn 0.625 0.875 0.750  3.32
Mn 0.851 0.625 0.750  3.63
O 0.409 0.875 0.596  0.08
O 0.687 0.375 0.596  0.08
O 0.145 0.471 0.640  0.06
O 0.841 0.875 0.904  0.08
O 0.221 0.395 0.140  0.06
Mn 0.770 0.270 0.000  3.63
Mn 0.625 0.875 0.250  3.32



No. 5
LiPt2Cl: optimized geometry, PBEsol.

symmetry: No. 122
E_form (uncorrected): -96 meV per atom
relative energy among the computed polymorphs: 0.160 eV per atom

Unit cell a=3.619 b=3.619 c=10.577 alpha=99.85 beta=99.85 gamma=90.00
Atoms (fractional coordinates):
Cl 0.250 0.750 0.500
Pt 0.872 0.375 0.250
Pt 0.378 0.875 0.250
Li 0.750 0.250 0.500
Cl 0.000 0.000 0.000
Li 0.500 0.500 0.000
Pt 0.625 0.622 0.750
Pt 0.125 0.128 0.750



No. 6
AlCu3: optimized geometry, PBEsol.

DFT formation energy: -0.202 eV per atom
symmetry: No. 59

Unit cell a=4.170 b=4.464 c=5.117 alpha=90.00 beta=90.00 gamma=90.00
Atoms (fractional coordinates):
Al 0.000 0.336 0.000
Cu 0.500 0.667 0.000
Al 0.500 0.664 0.500
Cu 0.000 0.837 0.251
Cu 0.500 0.163 0.249
Cu 0.000 0.837 0.749
Cu 0.500 0.163 0.751
Cu 0.000 0.333 0.500



No. 7
LiMn2Te: optimized geometry, PBEsol.

symmetry: No. 99
E_form (uncorrected): 243 meV per atom

Unit cell a=3.410 b=3.410 c=5.562 alpha=90.00 beta=90.00 gamma=90.00
Site moments in Bohr magnetons follow the coordinates.
Atoms (fractional coordinates):
Te 0.000 0.000 0.491  -0.07
Mn 0.000 0.000 0.011  3.52
Mn 0.500 0.500 0.240  3.18
Li 0.500 0.500 0.758  -0.01



No. 8
CsBe3Ag: optimized geometry, PBEsol.

DFT formation energy: 2.550 eV per atom
symmetry: No. 221

Unit cell a=4.960 b=4.960 c=4.960 alpha=90.00 beta=90.00 gamma=90.00
Atoms (fractional coordinates):
Be 0.000 0.000 0.500
Be 0.500 0.000 0.000
Cs 0.000 0.000 0.000
Ag 0.500 0.500 0.500
Be 0.000 0.500 0.000



No. 9
LiAl2Ge2: optimized geometry, PBEsol.

DFT formation energy: 0.044 eV per atom
symmetry: No. 139

Unit cell a=4.375 b=4.375 c=6.187 alpha=110.71 beta=110.71 gamma=90.00
Atoms (fractional coordinates):
Ge 0.250 0.750 0.500
Li 0.000 0.000 0.000
Ge 0.750 0.250 0.500
Al 0.382 0.382 0.763
Al 0.618 0.618 0.237



No. 10
FeTc2Ir: optimized geometry, PBEsol.

DFT formation energy: 0.036 eV per atom
symmetry: No. 166
relative energy among the computed polymorphs: 0.100 eV per atom

Unit cell a=2.661 b=2.661 c=8.735 alpha=81.24 beta=81.24 gamma=60.00
Site moments in Bohr magnetons follow the coordinates.
Atoms (fractional coordinates):
Ir 0.000 0.000 0.000  -0.03
Tc 0.246 0.246 0.261  -0.06
Fe 0.500 0.500 0.500  1.41
Tc 0.754 0.754 0.739  -0.06



No. 11
RbAlN3: optimized geometry, PBEsol.

symmetry: No. 221
E_form (uncorrected): 3153 meV per atom

Unit cell a=4.441 b=4.441 c=4.441 alpha=90.00 beta=90.00 gamma=90.00
Site moments in Bohr magnetons follow the coordinates.
Atoms (fractional coordinates):
N 0.000 0.000 0.500  0.89
N 0.500 0.000 0.000  0.89
Rb 0.000 0.000 0.000  0.10
N 0.000 0.500 0.000  0.89
Al 0.500 0.500 0.500  0.06



No. 12
Sr2Mg3Al: optimized geometry, PBEsol.

DFT formation energy: -0.131 eV per atom
symmetry: No. 194

Unit cell a=6.199 b=6.199 c=20.329 alpha=90.00 beta=90.00 gamma=120.00
Atoms (fractional coordinates):
Mg 0.338 0.169 0.750
Mg 0.831 0.169 0.750
Mg 0.169 0.338 0.250
Mg 0.000 0.500 0.500
Sr 0.000 0.000 0.903
Mg 0.169 0.831 0.250
Mg 0.500 0.500 0.000
Mg 0.662 0.831 0.250
Al 0.333 0.667 0.128
Sr 0.667 0.333 0.346
Mg 0.500 0.500 0.500
Al 0.667 0.333 0.872
Mg 0.000 0.500 0.000
Sr 0.000 0.000 0.403
Sr 0.333 0.667 0.846
Al 0.333 0.667 0.372
Mg 0.831 0.662 0.750
Sr 0.667 0.333 0.154
Sr 0.000 0.000 0.597
Al 0.667 0.333 0.628
Mg 0.500 0.000 0.000
Sr 0.333 0.667 0.654
Mg 0.500 0.000 0.500
Sr 0.000 0.000 0.097



Record-wise DOS(E_F) values, in states/eV per atom: 0.4248 0.1040 1.6331 0.3379 1.1306 0.3359 0.6299 0.3455 0.2807 1.0861 0.8300 0.6603
Record-wise theoretical density values, in kg/m3: 6202 2919 12016 4628 10690 7587 6276 3645 3338 13983 2928 2701